## LiCoRu2 (GGA-PBEsol)

Data for LiCoRu2 after structural relaxation. Values from VASP.

**Energy above the most stable polymorph in this dataset**: 0 meV/atom
**Total DFT energy (no corrections)**: -7.2709 eV/atom
**SG**: R-3m (166)
**Crystal system**: trigonal
**Magnetization**: 1.73 μB/cell
**Density of states at the Fermi level**: 11.55 states/eV/cell

Cell and atoms, written as Quantum ESPRESSO input:
```
&SYSTEM
  ibrav = 0, nat = 12, ntyp = 3
/
ATOMIC_SPECIES
Li 6.94 Li.upf
Co 58.93 Co.upf
Ru 101.07 Ru.upf
CELL_PARAMETERS angstrom
2.597 0.000 0.000
-1.298 2.249 0.000
0.000 0.000 25.914
ATOMIC_POSITIONS crystal
Li 0.000 0.000 0.000
Li 0.333 0.667 0.667
Li 0.667 0.333 0.333
Co 0.000 0.000 0.500
Co 0.333 0.667 0.167
Co 0.667 0.333 0.833
Ru 0.000 0.000 0.244
Ru 0.000 0.000 0.756
Ru 0.333 0.667 0.423
Ru 0.333 0.667 0.911
Ru 0.667 0.333 0.089
Ru 0.667 0.333 0.577
```